1.
The following is a DFT calculation (PBE) of a relaxed structure of LaHo2Tl.

Unit cell a=5.4910 b=5.4910 c=5.4910 alpha=60.00 beta=60.00 gamma=60.00
Atoms (fractional coordinates):
1 La 0.0000 0.0000 0.0000
2 Ho 0.2500 0.2500 0.2500
3 Ho 0.7500 0.7500 0.7500
4 Tl 0.5000 0.5000 0.5000

## Properties
symmetry = Fm-3m
DFT total energy = -4.11 eV/atom
polymorph energy (0 for the lowest one) = 188 meV per atom
crystal system = cubic
magnetic moment = 1.66 μB per formula unit
DFT formation energy = 0.0057 eV per atom

2.
The following is a DFT calculation (PBE) of a relaxed structure of ScBeTc.

Unit cell a=3.9407 b=3.9407 c=3.4220 alpha=90.00 beta=90.00 gamma=120.00
Atoms (fractional coordinates):
1 Sc 0.0000 0.0000 0.0000
2 Be 0.6667 0.3333 0.5000
3 Tc 0.3333 0.6667 0.5000

## Properties
symmetry = P-6m2
DFT total energy = -6.80 eV/atom
polymorph energy (0 for the lowest one) = 298 meV per atom
crystal system = hexagonal
magnetic moment = 0.00 μB per formula unit
DFT formation energy = 0.0125 eV per atom

3.
The following is a DFT calculation (PBE) of a relaxed structure of Zr2Tl2C.

Unit cell a=3.4144 b=3.4144 c=10.6129 alpha=99.61 beta=99.61 gamma=60.05
Atoms (fractional coordinates):
1 Zr 0.2073 0.2073 0.1169
2 Zr 0.7927 0.7927 0.8831
3 Tl 0.0432 0.0432 0.6404
4 Tl 0.9568 0.9568 0.3596
5 C 0.5000 0.5000 0.0000

## Properties
symmetry = C2/m
DFT total energy = -6.63 eV/atom
crystal system = monoclinic
magnetic moment = 0.00 μB per formula unit
DFT formation energy = -0.4218 eV per atom

4.
The following is a DFT calculation (PBE) of a relaxed structure of SiGe3Bi.

Unit cell a=5.4807 b=5.4807 c=5.4807 alpha=90.00 beta=90.00 gamma=90.00
Atoms (fractional coordinates):
1 Si 0.0000 0.0000 0.0000
2 Ge 0.0000 0.5000 0.5000
3 Ge 0.5000 0.0000 0.5000
4 Ge 0.5000 0.5000 0.0000
5 Bi 0.5000 0.5000 0.5000

## Properties
symmetry = Pm-3m
DFT total energy = -3.23 eV/atom
uncorrected formation energy = 1.402 eV/atom
polymorph energy (0 for the lowest one) = 913 meV per atom
crystal system = cubic
magnetic moment = 0.00 μB per formula unit

5.
The following is a DFT calculation (PBE) of a relaxed structure of Ba2ReW.

Unit cell a=3.5311 b=3.5311 c=10.1066 alpha=90.00 beta=90.00 gamma=90.00
Atoms (fractional coordinates):
1 Ba 0.0000 0.0000 0.0000
2 Ba 0.5000 0.5000 0.4041
3 Re 0.0000 0.0000 0.6668
4 W 0.5000 0.5000 0.7341

## Properties
symmetry = P4mm
DFT total energy = -6.62 eV/atom
polymorph energy (0 for the lowest one) = 118 meV per atom
crystal system = tetragonal
magnetic moment = 0.55 μB per formula unit
DFT formation energy = 0.6898 eV per atom

6.
The following is a DFT calculation (PBE) of a relaxed structure of ZrTa2Ag.

Unit cell a=4.7422 b=4.7422 c=4.7422 alpha=60.00 beta=60.00 gamma=60.00
Atoms (fractional coordinates):
1 Zr 0.0000 0.0000 0.0000
2 Ta 0.2500 0.2500 0.2500
3 Ta 0.7500 0.7500 0.7500
4 Ag 0.5000 0.5000 0.5000

## Properties
symmetry = Fm-3m
DFT total energy = -8.35 eV/atom
polymorph energy (0 for the lowest one) = 330 meV per atom
crystal system = cubic
magnetic moment = 0.00 μB per formula unit
DFT formation energy = 0.4276 eV per atom

7.
The following is a DFT calculation (PBE) of a relaxed structure of Sr2ZnP3Pt4.

Unit cell a=4.3614 b=4.3614 c=9.7762 alpha=90.00 beta=90.00 gamma=90.00
Atoms (fractional coordinates):
1 Sr 0.0000 0.5000 0.2477
2 Sr 0.5000 0.0000 0.7523
3 Zn 0.5000 0.5000 0.0000
4 P 0.0000 0.0000 0.0000
5 P 0.0000 0.5000 0.6261
6 P 0.5000 0.0000 0.3739
7 Pt 0.0000 0.0000 0.5000
8 Pt 0.0000 0.5000 0.8718
9 Pt 0.5000 0.0000 0.1282
10 Pt 0.5000 0.5000 0.5000

## Properties
symmetry = P-4m2
DFT total energy = -5.31 eV/atom
crystal system = tetragonal
magnetic moment = 0.00 μB per formula unit
DFT formation energy = -0.8050 eV per atom

8.
The following is a DFT calculation (PBE) of a relaxed structure of Nd5Sm4In2.

Unit cell a=11.9321 b=11.9321 c=8.4986 alpha=95.23 beta=95.23 gamma=17.32
Atoms (fractional coordinates):
1 Nd 0.0000 0.0000 0.0000
2 Nd 0.3198 0.3198 0.5190
3 Nd 0.3730 0.3730 0.9852
4 Nd 0.6270 0.6270 0.0148
5 Nd 0.6802 0.6802 0.4810
6 Sm 0.2306 0.2306 0.8236
7 Sm 0.4636 0.4636 0.6494
8 Sm 0.5364 0.5364 0.3506
9 Sm 0.7694 0.7694 0.1764
10 In 0.0863 0.0863 0.6814
11 In 0.9137 0.9137 0.3186

## Properties
symmetry = C2/m
DFT total energy = -4.45 eV/atom
crystal system = monoclinic
magnetic moment = 0.00 μB per formula unit
DFT formation energy = -0.0683 eV per atom

9.
The following is a DFT calculation (PBE) of a relaxed structure of KTl14In.

Unit cell a=11.0941 b=6.8723 c=6.8723 alpha=71.44 beta=90.00 gamma=90.00
Atoms (fractional coordinates):
1 K 0.0000 0.0000 0.0000
2 Tl 0.0000 0.5143 0.9419
3 Tl 0.0000 0.9419 0.5143
4 Tl 0.2403 0.2547 0.2547
5 Tl 0.2511 0.2953 0.7413
6 Tl 0.2511 0.7413 0.2953
7 Tl 0.2611 0.7828 0.7828
8 Tl 0.5000 0.0040 0.0040
9 Tl 0.5000 0.0072 0.4965
10 Tl 0.5000 0.4965 0.0072
11 Tl 0.5000 0.5013 0.5013
12 Tl 0.7389 0.7828 0.7828
13 Tl 0.7489 0.2953 0.7413
14 Tl 0.7489 0.7413 0.2953
15 Tl 0.7597 0.2547 0.2547
16 In 0.0000 0.4595 0.4595

## Properties
symmetry = Amm2
DFT total energy = -2.32 eV/atom
crystal system = orthorhombic
magnetic moment = 0.00 μB per formula unit
DFT formation energy = -0.0119 eV per atom

10.
The following is a DFT calculation (PBE) of a relaxed structure of CdSBr2.

Unit cell a=4.7294 b=7.8814 c=8.0847 alpha=92.33 beta=104.25 gamma=104.84
Atoms (fractional coordinates):
1 Cd 0.0000 0.0000 0.0000
2 Cd 0.4542 0.5882 0.0820
3 S 0.0362 0.3060 0.9116
4 S 0.9654 0.2797 0.6524
5 Br 0.3450 0.1798 0.5949
6 Br 0.5431 0.9578 0.1842
7 Br 0.6767 0.7100 0.8054
8 Br 0.9801 0.5481 0.2682

## Properties
symmetry = P1
DFT total energy = -2.55 eV/atom
uncorrected formation energy = -0.452 eV/atom
polymorph energy (0 for the lowest one) = 89 meV per atom
crystal system = triclinic
magnetic moment = 0.00 μB per formula unit

11.
The following is a DFT calculation (PBE) of a relaxed structure of MgAuCl2.

Unit cell a=4.9964 b=4.9964 c=4.9495 alpha=114.68 beta=114.68 gamma=98.74
Atoms (fractional coordinates):
1 Mg 0.0000 0.0000 0.0000
2 Au 0.5000 0.5000 0.0000
3 Cl 0.0000 0.5000 0.5000
4 Cl 0.5000 0.0000 0.5000

## Properties
symmetry = C2/m
DFT total energy = -2.63 eV/atom
uncorrected formation energy = -0.486 eV/atom
polymorph energy (0 for the lowest one) = 502 meV per atom
crystal system = monoclinic
magnetic moment = 0.00 μB per formula unit

12.
The following is a DFT calculation (PBE) of a relaxed structure of CaYEr14.

Unit cell a=11.1895 b=7.2013 c=7.2013 alpha=59.98 beta=90.00 gamma=90.00
Atoms (fractional coordinates):
1 Ca 0.0000 0.0000 0.0000
2 Y 0.0000 0.4996 0.4996
3 Er 0.0000 0.0007 0.4990
4 Er 0.0000 0.4990 0.0007
5 Er 0.2478 0.3329 0.3329
6 Er 0.2539 0.8310 0.8310
7 Er 0.2553 0.3370 0.8315
8 Er 0.2553 0.8315 0.3370
9 Er 0.5000 0.9996 0.9996
10 Er 0.5000 0.9995 0.5001
11 Er 0.5000 0.5001 0.9995
12 Er 0.5000 0.4998 0.4998
13 Er 0.7447 0.3370 0.8315
14 Er 0.7447 0.8315 0.3370
15 Er 0.7461 0.8310 0.8310
16 Er 0.7522 0.3329 0.3329

## Properties
symmetry = Amm2
DFT total energy = -4.50 eV/atom
crystal system = orthorhombic
magnetic moment = 0.00 μB per formula unit
DFT formation energy = 0.0241 eV per atom